A plane-wave DFT calculation with PBE was carried out for a relaxed Ti5TlO2 crystal.

```
8
Lattice="3.880 0.000 -1.094 -0.308 3.868 -1.094 0.185 0.200 8.086" Properties=species:S:1:pos:R:3 pbc="T T T"
Ti 0.479 2.620 1.700
Ti 2.573 0.686 1.700
Ti 1.183 3.382 4.198
Ti 3.278 1.448 4.198
Ti 0.000 0.000 0.000
Tl 1.786 1.934 -1.094
O 0.529 0.573 1.878
O 3.228 3.495 4.020
```

- Energy relative to the elements, uncorrected: -1024 meV/atom
- Volume: 123.04 Å³ per cell
- Calculated total energy: -7.49 eV/atom